Entry 1:
## MgNi2O (GGA+U)

Data for a relaxed structure of MgNi2O.

Calculated values
The relative energy among the computed polymorphs comes out at 680.3 meV per atom.

abc: 4.0641 4.0641 4.0641
angles: 60.00 60.00 60.00
With the nearest neighbours (Å) after each atom.
Fractional positions:
Ni (0.2500, 0.2500, 0.2500)  4 O 2.49, 4 Mg 2.49
Ni (0.7500, 0.7500, 0.7500)  4 O 2.49, 4 Mg 2.49
O (0.0000, 0.0000, 0.0000)  8 Ni 2.49
Mg (0.5000, 0.5000, 0.5000)  8 Ni 2.49

---

Entry 2:
## Mg3Ni2O7 (GGA+U)

Data for a relaxed structure of Mg3Ni2O7.

Calculated values
The electronic total energy is -5.23 eV per atom.

abc: 9.0489 9.0489 5.2783
angles: 90.00 90.00 147.74
With the nearest neighbours (Å) after each atom.
Fractional positions:
Ni (0.6435, 0.8476, 0.7495)  6 O 1.89-1.96
Ni (0.3565, 0.1524, 0.2495)  6 O 1.89-1.96
Ni (0.8476, 0.6435, 0.7495)  6 O 1.89-1.96
Ni (0.1524, 0.3565, 0.2495)  6 O 1.89-1.96
O (0.6665, 0.0735, 0.7015)  1 Ni 1.89, 3 Mg 2.01-2.06
O (0.9850, 0.1315, 0.9467)  2 Ni 1.94-1.95, 1 Mg 2.10
O (0.3102, 0.5840, 0.5411)  2 Ni 1.92-1.96, 2 Mg 2.06-2.14
O (0.1315, 0.9850, 0.9467)  2 Ni 1.94-1.95, 1 Mg 2.10
O (0.0735, 0.6665, 0.7015)  1 Ni 1.89, 3 Mg 2.01-2.06
O (0.3335, 0.9265, 0.2015)  1 Ni 1.89, 3 Mg 2.01-2.06
O (0.0150, 0.8685, 0.4467)  2 Ni 1.94-1.95, 1 Mg 2.10
O (0.5840, 0.3102, 0.5411)  2 Ni 1.92-1.96, 2 Mg 2.06-2.14
O (0.9265, 0.3335, 0.2015)  1 Ni 1.89, 3 Mg 2.01-2.06
O (0.6073, 0.6073, 0.8113)  2 Ni 1.93, 2 Mg 2.06-2.08
O (0.3927, 0.3927, 0.3113)  2 Ni 1.93, 2 Mg 2.06-2.08
O (0.8685, 0.0150, 0.4467)  2 Ni 1.94-1.95, 1 Mg 2.10
O (0.6898, 0.4160, 0.0411)  2 Ni 1.92-1.96, 2 Mg 2.06-2.14
O (0.4160, 0.6898, 0.0411)  2 Ni 1.92-1.96, 2 Mg 2.06-2.14
Mg (0.2251, 0.2251, 0.6726)  6 O 2.06-2.25
Mg (0.0530, 0.4371, 0.8291)  5 O 2.01-2.14
Mg (0.9470, 0.5629, 0.3291)  5 O 2.01-2.14
Mg (0.7749, 0.7749, 0.1726)  6 O 2.06-2.25
Mg (0.4371, 0.0530, 0.8291)  5 O 2.01-2.14
Mg (0.5629, 0.9470, 0.3291)  5 O 2.01-2.14

---

Entry 3:
## MgNi4O5 (GGA+U)

Data for a relaxed structure of MgNi4O5.

Calculated values
The electronic total energy is -5.06 eV per atom.

abc: 2.9924 5.1732 6.6871
angles: 74.97 77.07 73.19
With the nearest neighbours (Å) after each atom.
Fractional positions:
O (0.2002, 0.8993, 0.7004)  5 Ni 2.10-2.12, 1 Mg 2.11
O (0.5991, 0.7019, 0.0998)  4 Ni 2.11-2.13, 2 Mg 2.11
O (0.0000, 0.5000, 0.5000)  6 Ni 2.11
O (0.7998, 0.1007, 0.2996)  5 Ni 2.10-2.12, 1 Mg 2.11
O (0.4009, 0.2981, 0.9002)  4 Ni 2.11-2.13, 2 Mg 2.11
Ni (0.1983, 0.4039, 0.1995)  6 O 2.11-2.12
Ni (0.8017, 0.5961, 0.8005)  6 O 2.11-2.12
Ni (0.6016, 0.1992, 0.5976)  6 O 2.10-2.13
Ni (0.3984, 0.8008, 0.4024)  6 O 2.10-2.13
Mg (0.0000, 0.0000, 0.0000)  6 O 2.11

---

Entry 4:
## Mg3NiO4 (GGA+U)

Data for a relaxed structure of Mg3NiO4.

Calculated values
The electronic total energy is -5.70 eV per atom.

abc: 4.2458 4.2458 4.2458
angles: 90.00 90.00 90.00
With the nearest neighbours (Å) after each atom.
Fractional positions:
Mg (0.5000, 0.0000, 0.5000)  6 O 2.12
Mg (0.5000, 0.5000, 0.0000)  6 O 2.12
Mg (0.0000, 0.5000, 0.5000)  6 O 2.12
O (0.5000, 0.0000, 0.0000)  4 Mg 2.12, 2 Ni 2.12
O (0.0000, 0.0000, 0.5000)  4 Mg 2.12, 2 Ni 2.12
O (0.5000, 0.5000, 0.5000)  6 Mg 2.12
O (0.0000, 0.5000, 0.0000)  4 Mg 2.12, 2 Ni 2.12
Ni (0.0000, 0.0000, 0.0000)  6 O 2.12

---

Number 1: size of the total moment 1.7 μB/f.u.. Number 2: size of the total moment 0.0 μB/f.u.. Number 3: size of the total moment 8.0 μB/f.u.. Number 4: size of the total moment 2.0 μB/f.u..